No. 1
DFT (PBE) results for crystalline AgTeMo2 at its relaxed geometry.

Cell lengths 2.9629, 2.9629, 9.7199 Å; angles 90.00, 90.00, 112.10 degrees
Positions (direct):
Ag 0.0000 0.0000 0.0000
Te 0.5000 0.5000 0.3059
Mo 0.0000 0.0000 0.5616
Mo 0.5000 0.5000 0.7574

Values from the calculation:
SG: Cmm2, No. 35

No. 2
DFT (PBE) results for crystalline AgTeMo2 at its relaxed geometry.

Cell lengths 3.2720, 3.2720, 7.2140 Å; angles 90.00, 90.00, 90.00 degrees
Positions (direct):
Ag 0.0000 0.0000 0.0000
Te 0.5000 0.5000 0.6821
Mo 0.0000 0.0000 0.4353
Mo 0.5000 0.5000 0.2534

Values from the calculation:
SG: P4mm, No. 99

Here are the calculated VASP energy numbers, same order: -6.472, -6.533 (eV per atom).
Here are the calculated energy relative to the elements, uncorrected numbers, same order: 0.44, 0.38 (eV per atom).